DFT (GGA-PBE) results for a relaxed structure of BeGaPb2.

Cell lengths 5.1001, 5.1001, 5.1001 Å; angles 60.00, 60.00, 60.00 degrees
Last column: nearest neighbours and their distance in Å.
Fractional positions:
Be 0.0000 0.0000 0.0000  8 Pb 3.12
Ga 0.5000 0.5000 0.5000  8 Pb 3.12
Pb 0.7500 0.7500 0.7500  4 Be 3.12, 4 Ga 3.12
Pb 0.2500 0.2500 0.2500  4 Be 3.12, 4 Ga 3.12

Results
electronic total energy = -3.059 eV per atom
SG = No. 225
calculated volume = 23.452 Å³/atom
DFT formation energy = 483.0 meV/atom

***

DFT (GGA-PBE) results for a relaxed structure of KAcAlO4.

Cell lengths 5.4697, 5.5457, 6.9869 Å; angles 90.00, 113.04, 90.00 degrees
Last column: nearest neighbours and their distance in Å.
Fractional positions:
K 0.4034 0.2500 0.8069  9 O 2.66-2.78
O 0.5000 0.5000 0.5000  2 Al 1.95
O 0.0000 0.5000 0.5000  2 Al 1.95
O 0.3898 0.7500 0.7796  1 Al 1.89
Ac 0.1130 0.2500 0.2260  9 O 2.61-2.79
O 0.6102 0.2500 0.2204  1 Al 1.89
O 0.9098 0.2500 0.8196  1 Al 1.96
O 0.0902 0.7500 0.1804  1 Al 1.96
Ac 0.8870 0.7500 0.7740  9 O 2.61-2.79
K 0.5966 0.7500 0.1931  9 O 2.66-2.78
O 0.0000 0.0000 0.5000  2 Al 1.95
O 0.5000 0.0000 0.5000  2 Al 1.95
Al 0.7570 0.2500 0.5140  6 O 1.89-1.96
Al 0.2430 0.7500 0.4860  6 O 1.89-1.96

Results
formation energy (no corrections) = -241.3 kJ per mole of atoms
electronic total energy = -6.612 eV per atom
SG = No. 63
calculated volume = 13.930 Å³/atom

***

DFT (GGA-PBE) results for a relaxed structure of ZrCdSi2.

Cell lengths 2.9335, 2.9335, 8.7799 Å; angles 90.00, 90.00, 90.00 degrees
Last column: nearest neighbours and their distance in Å.
Fractional positions:
Zr 0.5000 0.5000 0.2500  8 Si 2.90, 4 Zr 2.93
Cd 0.5000 0.5000 0.7500  4 Cd 2.93, 8 Si 3.15
Si 0.0000 0.0000 0.4805  4 Zr 2.90, 4 Si 2.93, 4 Cd 3.15
Si 0.0000 0.0000 0.0195  4 Zr 2.90, 4 Si 2.93, 4 Cd 3.15

Results
formation energy (no corrections) = 5.2 kJ per mole of atoms
electronic total energy = -5.023 eV per atom
SG = No. 123
calculated volume = 18.889 Å³/atom

***

Number 1: total magnetization 0.00 μB/cell. Number 2: total magnetization 2.03 μB/cell. Number 3: total magnetization 0.00 μB/cell.